## RePCl2O (PBE)

Data for an optimized crystal structure of RePCl2O.

Computed properties:
Raw formation energy = 819 meV/atom
Crystal system = tetragonal
Energy = -4.483 eV per atom
DOS(E_F) = 2.032 states/eV/atom
Magnetization = 0.0 μB per formula unit
Energy above the lowest structure with this stoichiometry = 0 meV per atom

The structure in CIF format:
```
data_RePCl2O
_chemical_formula_sum 'Re1 P1 Cl2 O1'
_space_group_name_H-M_alt 'P 4/m m m'
_space_group_IT_number 123
_space_group_name_Hall '-P 4 2'
_cell_length_a 4.6389
_cell_length_b 4.6389
_cell_length_c 4.6447
_cell_angle_alpha 90.00
_cell_angle_beta 90.00
_cell_angle_gamma 90.00
loop_
_atom_site_label
_atom_site_type_symbol
_atom_site_fract_x
_atom_site_fract_y
_atom_site_fract_z
Re1 Re 0.0000 0.0000 0.0000
P1 P 0.0000 0.0000 0.5000
Cl1 Cl 0.0000 0.5000 0.0000
O1 O 0.5000 0.5000 0.5000
```